[1]
Density functional theory data (PBE) for Pm3Ho5Se12 after structural relaxation.

Lattice parameters (Å, degrees): 16.9264 16.9264 16.9264 90.00 90.00 90.00
Space group Ia-3d (No. 230)
One atom of each set of equivalent atoms:
1 Pm 0.0000 0.2500 0.1250 [24 per cell]
2 Ho 0.0000 0.0000 0.0000 [16 per cell]
3 Ho 0.0000 0.2500 0.3750 [24 per cell]
4 Se 0.0225 0.0691 0.6521 [96 per cell]

Results
M_tot = 0.0000 μB per atom
electronic total energy = -0.415 Ry/atom
formation energy from raw total energies = -1.70 eV per atom

[2]
Density functional theory data (PBE) for PmHo5Se6 after structural relaxation.

Lattice parameters (Å, degrees): 7.0326 12.2546 7.0798 90.00 109.41 90.00
Space group C2/m (No. 12)
One atom of each set of equivalent atoms:
1 Pm 0.0000 0.0000 0.0000 [2 per cell]
2 Ho 0.0000 0.1602 0.5000 [4 per cell]
3 Ho 0.0000 0.3347 0.0000 [4 per cell]
4 Ho 0.0000 0.5000 0.5000 [2 per cell]
5 Se 0.2419 0.5000 0.2510 [4 per cell]
6 Se 0.2439 0.3286 0.7442 [8 per cell]

Results
M_tot = 0.0000 μB per atom
electronic total energy = -0.425 Ry/atom
formation energy from raw total energies = -1.74 eV per atom

[3]
Density functional theory data (PBE) for Pm4Ho3Se8 after structural relaxation.

Lattice parameters (Å, degrees): 11.6417 11.6495 8.2300 90.00 134.91 90.00
Space group C2/m (No. 12)
One atom of each set of equivalent atoms:
1 Pm 0.0000 0.0000 0.0000 [2 per cell]
2 Pm 0.0000 0.5000 0.5000 [2 per cell]
3 Pm 0.2500 0.2500 0.0000 [4 per cell]
4 Ho 0.0000 0.5000 0.0000 [2 per cell]
5 Ho 0.2500 0.2500 0.5000 [4 per cell]
6 Se 0.0000 0.2438 0.5000 [4 per cell]
7 Se 0.0000 0.2540 0.0000 [4 per cell]
8 Se 0.2476 0.0000 0.5080 [4 per cell]
9 Se 0.2482 0.0000 0.9881 [4 per cell]

Results
M_tot = 0.0000 μB per atom
electronic total energy = -0.432 Ry/atom
E above lowest polymorph = 0.0000 eV/atom
formation energy from raw total energies = -1.84 eV per atom

Which of these has the highest electronic total energy? Pm3Ho5Se12

The lowest formation energy from raw total energies belongs to which entry? Pm4Ho3Se8

Look up the electronic total energy of the third one. -0.432 Ry/atom